<i>
Density functional theory data (PBE-GGA) for crystalline CaNbSe at its relaxed geometry.

The space group is P4/nmm (No. 129, origin choice 2) and the conventional cell measures 3.9925, 3.9925 and 9.0013 Å, with angles of 90.00, 90.00 and 90.00 degrees. The inequivalent atoms are Ca at (0.2500, 0.2500, 0.1636), Nb at (0.2500, 0.7500, 0.5000) and Se at (0.2500, 0.2500, 0.7075).

<ii>
Density functional theory data (PBE-GGA) for crystalline CaNbSe at its relaxed geometry.

The space group is P-6m2 (No. 187) and the conventional cell measures 4.3867, 4.3867 and 4.3358 Å, with angles of 90.00, 90.00 and 120.00 degrees. The inequivalent atoms are Ca at (0.0000, 0.0000, 0.0000), Nb at (0.3333, 0.6667, 0.5000) and Se at (0.6667, 0.3333, 0.5000).

Q: Which of them is the most stable? A: <i>.